Computed, not measured: a relaxed structure of Fe3OsF at the PBE with a Hubbard U level of DFT.

## Properties
Total DFT energy (no corrections): -5.5368 eV per atom
Calculated volume: 72.9 Å³ per cell

```
data_Fe3OsF
_chemical_formula_sum 'Fe3 Os1 F1'
_symmetry_space_group_name_H-M 'P m -3 m'
_symmetry_Int_Tables_number 221
_symmetry_space_group_name_Hall '-P 4 2 3'
_cell_length_a 4.178
_cell_length_b 4.178
_cell_length_c 4.178
_cell_angle_alpha 90.00
_cell_angle_beta 90.00
_cell_angle_gamma 90.00
loop_
_atom_site_label
_atom_site_type_symbol
_atom_site_fract_x
_atom_site_fract_y
_atom_site_fract_z
_atom_site_occupancy
Fe1 Fe 0.000 0.000 0.500 1
Os1 Os 0.500 0.500 0.500 1
F1 F 0.000 0.000 0.000 1
```